1.
Li8Au4O11 | GGA-PBE | optimized geometry

Output
Energy above the most stable polymorph in this dataset: 0.000 eV/atom
E_tot: -4.62 eV per atom

Unit cell a=11.1553 b=5.3243 c=5.0996 alpha=101.97 beta=93.63 gamma=123.16
With the nearest neighbours (Å) after each atom.
Positions (direct):
Au: 0.9336 0.1546 0.0348  4 O 2.02-2.05
Au: 0.0938 0.8603 0.0410  4 O 2.03-2.09
Au: 0.4090 0.1665 0.9719  6 O 2.04-2.07
Au: 0.5829 0.8502 0.9802  4 O 1.99-2.08
Li: 0.6560 0.6957 0.4582  3 O 1.92-2.04
Li: 0.5072 0.0142 0.4977  5 O 1.98-2.19
Li: 0.9675 0.9300 0.5099  4 O 1.90-2.11
Li: 0.3590 0.3901 0.5162  5 O 2.02-2.26
Li: 0.1521 0.6712 0.5385  4 O 1.95-2.12
Li: 0.8580 0.2811 0.5602  3 O 1.97-2.03
Li: 0.2389 0.5127 0.9312  3 O 1.92-1.98
Li: 0.7431 0.4940 0.9900  4 O 1.99-2.07
O: 0.5873 0.2228 0.1912  2 Au 2.02-2.05, 3 Li 2.06-2.26
O: 0.2833 0.9405 0.2294  2 Au 2.04, 2 Li 2.18-2.23
O: 0.4685 0.5848 0.2358  3 Li 2.02-2.19, 2 Au 2.06-2.08
O: 0.9778 0.5696 0.2721  2 Li 2.03-2.11, 2 Au 2.05
O: 0.8166 0.9045 0.2835  4 Li 1.90-2.05, 1 Au 2.02
O: 0.3413 0.7601 0.6825  4 Li 1.95-2.10, 1 Au 2.04
O: 0.6813 0.0792 0.7126  4 Li 1.97-2.07, 1 Au 1.99
O: 0.5414 0.4369 0.7398  2 Au 2.06, 3 Li 2.13-2.17
O: 0.0435 0.3506 0.7498  4 Li 1.92-2.05, 1 Au 2.04
O: 0.2228 0.1172 0.7911  2 Li 1.98-2.12, 2 Au 2.07-2.09
O: 0.9064 0.7555 0.8196  2 Li 1.97-1.99, 2 Au 2.02-2.03

***

2.
Li5AuO4 | GGA-PBE | optimized geometry

Output
E_tot: -4.59 eV per atom

Unit cell a=5.1560 b=3.3200 c=5.3389 alpha=90.00 beta=93.54 gamma=90.00
With the nearest neighbours (Å) after each atom.
Positions (direct):
Au: 0.0000 0.5000 0.0000  2 O 2.04
Li: 0.3646 0.0000 0.1693  4 O 1.94-1.98
Li: 0.6527 0.5000 0.3423  4 O 1.88-2.08
Li: 0.0000 0.0000 0.5000  2 O 2.05
Li: 0.3473 0.5000 0.6577  4 O 1.88-2.08
Li: 0.6354 0.0000 0.8307  4 O 1.94-1.98
O: 0.7411 0.0000 0.1928  5 Li 1.91-2.05
O: 0.2493 0.5000 0.3122  4 Li 1.88-2.08, 1 Au 2.04
O: 0.7507 0.5000 0.6878  4 Li 1.88-2.08, 1 Au 2.04
O: 0.2589 0.0000 0.8072  5 Li 1.91-2.05

***

3.
Li2AuO4 | GGA-PBE | optimized geometry

Output
E_tot: -4.17 eV per atom

Unit cell a=5.9381 b=5.9381 c=5.9381 alpha=119.98 beta=90.03 gamma=119.98
With the nearest neighbours (Å) after each atom.
Positions (direct):
Au: 0.0000 0.0000 0.0000  4 O 1.96
Au: 0.7500 0.5000 0.2500  4 O 1.96
Li: 0.3750 0.7500 0.1250  6 O 2.02
Li: 0.3750 0.2500 0.6250  6 O 2.02
Li: 0.8750 0.2500 0.6250  6 O 2.02
Li: 0.3750 0.7500 0.6250  6 O 2.02
O: 0.6153 0.2310 0.3844  1 Au 1.96, 3 Li 2.02
O: 0.1534 0.7690 0.3844  1 Au 1.96, 3 Li 2.02
O: 0.6156 0.7690 0.3847  1 Au 1.96, 3 Li 2.02
O: 0.1344 0.2690 0.4034  1 Au 1.96, 3 Li 2.02
O: 0.6156 0.2310 0.8466  1 Au 1.96, 3 Li 2.02
O: 0.1344 0.7310 0.8653  1 Au 1.96, 3 Li 2.02
O: 0.1347 0.2690 0.8656  1 Au 1.96, 3 Li 2.02
O: 0.5966 0.7310 0.8656  1 Au 1.96, 3 Li 2.02

***

4.
LiAuO | GGA-PBE | optimized geometry

Output
E_tot: -4.28 eV per atom

Unit cell a=6.4343 b=6.2226 c=5.6636 alpha=65.35 beta=61.52 gamma=53.13
With the nearest neighbours (Å) after each atom.
Positions (direct):
Au: 0.1250 0.6250 0.1250  2 O 2.11
Au: 0.1250 0.1250 0.1250  2 O 2.11
Au: 0.6250 0.1250 0.1250  2 O 2.11
Au: 0.1250 0.1250 0.6250  2 O 2.11
Li: 0.6294 0.6294 0.3706  2 O 1.98
Li: 0.8794 0.8794 0.6206  2 O 1.98
Li: 0.3706 0.3706 0.6294  2 O 1.98
Li: 0.6206 0.6206 0.8794  2 O 1.98
O: 0.6979 0.3021 0.3021  2 Li 1.98, 2 Au 2.11
O: 0.9479 0.5521 0.5521  2 Li 1.98, 2 Au 2.11
O: 0.3021 0.6979 0.6979  2 Li 1.98, 2 Au 2.11
O: 0.5521 0.9479 0.9479  2 Li 1.98, 2 Au 2.11

***

5.
Li8Au4O11 | GGA-PBE | optimized geometry

Output
Energy above the most stable polymorph in this dataset: 0.007 eV/atom
E_tot: -4.62 eV per atom

Unit cell a=10.8192 b=5.3069 c=5.1321 alpha=101.91 beta=97.60 gamma=120.68
With the nearest neighbours (Å) after each atom.
Positions (direct):
Au: 0.5711 0.8102 0.0025  4 O 2.01-2.06
Au: 0.0827 0.8427 0.0149  4 O 2.01-2.07
Au: 0.4246 0.1747 0.0571  4 O 2.02-2.07
Au: 0.9044 0.1720 0.9718  6 O 2.00-2.09
Li: 0.9659 0.9899 0.4671  5 O 1.98-2.19
Li: 0.6745 0.7022 0.4861  2 O 1.86-2.04
Li: 0.8327 0.3785 0.4878  4 O 1.94-2.15
Li: 0.2041 0.6543 0.5068  3 O 2.00-2.04
Li: 0.5112 0.0146 0.5443  4 O 1.94-2.13
Li: 0.3343 0.2585 0.5498  4 O 1.94-2.03
Li: 0.7481 0.5025 0.9582  5 O 2.02-2.25
Li: 0.2460 0.5077 0.9801  4 O 2.06-2.09
O: 0.7814 0.9441 0.2121  2 Au 2.04-2.06, 4 Li 2.11-2.25
O: 0.9462 0.5844 0.2240  2 Au 2.04-2.08, 3 Li 2.05-2.16
O: 0.0876 0.2194 0.2258  2 Au 2.04-2.09, 2 Li 2.04
O: 0.6162 0.2256 0.2406  2 Au 2.02-2.06, 2 Li 2.15-2.21
O: 0.3287 0.9123 0.2953  4 Li 1.94-2.06, 1 Au 2.02
O: 0.8481 0.7726 0.7035  3 Li 1.86-2.07, 1 Au 2.00
O: 0.7310 0.1298 0.7123  4 Li 1.94-2.13, 1 Au 2.03
O: 0.3806 0.6710 0.7188  4 Li 1.94-2.12, 1 Au 2.03
O: 0.0488 0.4376 0.7702  3 Li 2.07-2.29, 2 Au 2.07
O: 0.5355 0.4021 0.7981  2 Au 2.01-2.07, 3 Li 2.03-2.08
O: 0.2312 0.0963 0.8291  2 Li 2.00-2.07, 2 Au 2.01-2.05

***

6.
LiAuO4 | GGA-PBE | optimized geometry

Output
Energy above the most stable polymorph in this dataset: 0.307 eV/atom
E_tot: -4.15 eV per atom

Unit cell a=3.1259 b=9.1017 c=9.1407 alpha=88.42 beta=90.00 gamma=90.00
With the nearest neighbours (Å) after each atom.
Positions (direct):
Au: 0.4751 0.2500 0.0000  6 O 1.93-2.03
Au: 0.5249 0.7500 0.0000  6 O 1.93-2.03
Au: 0.5248 0.7501 0.4999  6 O 1.93-2.03
Au: 0.4752 0.2499 0.5001  6 O 1.93-2.03
Li: 0.0000 0.0002 0.2498  6 O 1.97-2.03
Li: 0.0000 0.4999 0.2501  6 O 1.97-2.03
Li: 0.0000 0.5001 0.7499  6 O 1.97-2.03
Li: 0.0000 0.9998 0.7502  6 O 1.97-2.03
O: 0.9771 0.3488 0.0982  1 Li 1.98, 2 Au 2.02-2.03
O: 0.0228 0.8487 0.0983  1 Li 1.98, 2 Au 2.02-2.03
O: 0.4892 0.0981 0.1516  1 Au 1.93, 2 Li 1.97-2.03
O: 0.5108 0.5980 0.1517  1 Au 1.93, 2 Li 1.98-2.03
O: 0.5108 0.9021 0.3483  1 Au 1.93, 2 Li 1.98-2.03
O: 0.4892 0.4019 0.3484  1 Au 1.93, 2 Li 1.97-2.03
O: 0.0228 0.6513 0.4018  1 Li 1.98, 2 Au 2.02-2.03
O: 0.9772 0.1512 0.4018  1 Li 1.98, 2 Au 2.02-2.03
O: 0.0228 0.8488 0.5982  1 Li 1.98, 2 Au 2.02-2.03
O: 0.9772 0.3487 0.5982  1 Li 1.98, 2 Au 2.02-2.03
O: 0.5108 0.5981 0.6516  1 Au 1.93, 2 Li 1.97-2.03
O: 0.4892 0.0979 0.6517  1 Au 1.93, 2 Li 1.98-2.03
O: 0.4892 0.4020 0.8483  1 Au 1.93, 2 Li 1.98-2.03
O: 0.5108 0.9019 0.8484  1 Au 1.93, 2 Li 1.97-2.03
O: 0.9772 0.1513 0.9017  1 Li 1.98, 2 Au 2.02-2.03
O: 0.0229 0.6512 0.9018  1 Li 1.98, 2 Au 2.02-2.03

***

7.
LiAuO4 | GGA-PBE | optimized geometry

Output
Energy above the most stable polymorph in this dataset: 0.034 eV/atom
E_tot: -4.42 eV per atom

Unit cell a=4.1734 b=5.9709 c=5.2629 alpha=90.00 beta=94.95 gamma=90.00
With the nearest neighbours (Å) after each atom.
Positions (direct):
Au: 0.0000 0.1305 0.2500  6 O 2.00-2.14
Au: 0.0000 0.8695 0.7500  6 O 2.00-2.14
Li: 0.5000 0.6645 0.2500  4 O 1.83-1.96
Li: 0.5000 0.3355 0.7500  4 O 1.83-1.96
O: 0.2436 0.8817 0.0932  1 Li 1.83, 2 Au 2.00-2.02
O: 0.3670 0.3589 0.1570  1 O 1.42
O: 0.6330 0.3589 0.3430  1 O 1.42
O: 0.7564 0.8817 0.4068  1 Li 1.83, 2 Au 2.00-2.02
O: 0.2436 0.1183 0.5932  1 Li 1.83, 2 Au 2.00-2.02
O: 0.3670 0.6411 0.6570  1 O 1.42
O: 0.6330 0.6411 0.8430  1 O 1.42
O: 0.7564 0.1183 0.9068  1 Li 1.83, 2 Au 2.00-2.02

***

8.
LiAuO4 | GGA-PBE | optimized geometry

Output
Energy above the most stable polymorph in this dataset: 0.312 eV/atom
E_tot: -4.14 eV per atom

Unit cell a=3.1178 b=4.5310 c=4.5356 alpha=88.34 beta=89.91 gamma=89.90
With the nearest neighbours (Å) after each atom.
Positions (direct):
Au: 0.5429 0.4617 0.9990  6 O 1.93-2.02
Li: 0.0416 0.9617 0.4990  6 O 1.97-1.99
O: 0.0419 0.6597 0.1965  1 Li 1.97, 2 Au 2.02
O: 0.5412 0.1565 0.3047  1 Au 1.93, 2 Li 1.98-1.99
O: 0.5413 0.7666 0.6935  1 Au 1.93, 2 Li 1.99
O: 0.0439 0.2635 0.8018  1 Li 1.97, 2 Au 2.02

***

9.
Li2Au2O5 | GGA-PBE | optimized geometry

Output
Energy above the most stable polymorph in this dataset: 0.000 eV/atom
E_tot: -4.17 eV per atom

Unit cell a=7.8583 b=3.8444 c=3.8444 alpha=90.00 beta=90.00 gamma=90.00
With the nearest neighbours (Å) after each atom.
Positions (direct):
Au: 0.2297 0.5000 0.5000  5 O 1.98-2.12
Au: 0.7703 0.5000 0.5000  5 O 1.98-2.12
Li: 0.0000 0.0000 0.0000  8 O 2.33
Li: 0.5000 0.0000 0.0000  4 O 2.72
O: 0.1673 0.5000 0.0000  2 Au 1.98
O: 0.8327 0.5000 0.0000  2 Au 1.98
O: 0.1673 0.0000 0.5000  2 Au 1.98
O: 0.8327 0.0000 0.5000  2 Au 1.98
O: 0.5000 0.5000 0.5000  2 Au 2.12

***

What is the formula in the first record?
Li8Au4O11

***

What did the fifth record say?
Li8Au4O11 | GGA-PBE | optimized geometry

Output
Energy above the most stable polymorph in this dataset: 0.007 eV/atom
E_tot: -4.62 eV per atom

Unit cell a=10.8192 b=5.3069 c=5.1321 alpha=101.91 beta=97.60 gamma=120.68
With the nearest neighbours (Å) after each atom.
Positions (direct):
Au: 0.5711 0.8102 0.0025  4 O 2.01-2.06
Au: 0.0827 0.8427 0.0149  4 O 2.01-2.07
Au: 0.4246 0.1747 0.0571  4 O 2.02-2.07
Au: 0.9044 0.1720 0.9718  6 O 2.00-2.09
Li: 0.9659 0.9899 0.4671  5 O 1.98-2.19
Li: 0.6745 0.7022 0.4861  2 O 1.86-2.04
Li: 0.8327 0.3785 0.4878  4 O 1.94-2.15
Li: 0.2041 0.6543 0.5068  3 O 2.00-2.04
Li: 0.5112 0.0146 0.5443  4 O 1.94-2.13
Li: 0.3343 0.2585 0.5498  4 O 1.94-2.03
Li: 0.7481 0.5025 0.9582  5 O 2.02-2.25
Li: 0.2460 0.5077 0.9801  4 O 2.06-2.09
O: 0.7814 0.9441 0.2121  2 Au 2.04-2.06, 4 Li 2.11-2.25
O: 0.9462 0.5844 0.2240  2 Au 2.04-2.08, 3 Li 2.05-2.16
O: 0.0876 0.2194 0.2258  2 Au 2.04-2.09, 2 Li 2.04
O: 0.6162 0.2256 0.2406  2 Au 2.02-2.06, 2 Li 2.15-2.21
O: 0.3287 0.9123 0.2953  4 Li 1.94-2.06, 1 Au 2.02
O: 0.8481 0.7726 0.7035  3 Li 1.86-2.07, 1 Au 2.00
O: 0.7310 0.1298 0.7123  4 Li 1.94-2.13, 1 Au 2.03
O: 0.3806 0.6710 0.7188  4 Li 1.94-2.12, 1 Au 2.03
O: 0.0488 0.4376 0.7702  3 Li 2.07-2.29, 2 Au 2.07
O: 0.5355 0.4021 0.7981  2 Au 2.01-2.07, 3 Li 2.03-2.08
O: 0.2312 0.0963 0.8291  2 Li 2.00-2.07, 2 Au 2.01-2.05

***

What did the second record say?
Li5AuO4 | GGA-PBE | optimized geometry

Output
E_tot: -4.59 eV per atom

Unit cell a=5.1560 b=3.3200 c=5.3389 alpha=90.00 beta=93.54 gamma=90.00
With the nearest neighbours (Å) after each atom.
Positions (direct):
Au: 0.0000 0.5000 0.0000  2 O 2.04
Li: 0.3646 0.0000 0.1693  4 O 1.94-1.98
Li: 0.6527 0.5000 0.3423  4 O 1.88-2.08
Li: 0.0000 0.0000 0.5000  2 O 2.05
Li: 0.3473 0.5000 0.6577  4 O 1.88-2.08
Li: 0.6354 0.0000 0.8307  4 O 1.94-1.98
O: 0.7411 0.0000 0.1928  5 Li 1.91-2.05
O: 0.2493 0.5000 0.3122  4 Li 1.88-2.08, 1 Au 2.04
O: 0.7507 0.5000 0.6878  4 Li 1.88-2.08, 1 Au 2.04
O: 0.2589 0.0000 0.8072  5 Li 1.91-2.05

***

Which formula does entry 2 have?
Li5AuO4